Computed, not measured: crystalline RbHoGa2Br6 at its relaxed geometry at the PBE level of DFT.

```
RbHoGa2Br6
1.0
7.878 0.009 0.005
3.946 6.817 0.003
3.945 2.276 7.062
Br Rb Ga Ho
6 1 2 1
direct
0.373 0.706 0.767
0.245 0.961 0.232
0.707 0.153 0.767
0.961 0.562 0.232
0.561 0.245 0.232
0.154 0.373 0.767
0.812 0.813 0.562
0.516 0.516 0.453
0.007 0.007 0.979
0.325 0.325 0.024
```

Results
* magnetization: 0.00 μB per cell
* formation energy (no corrections): -1.32 eV/atom
* D(E_F): 0.0000 states/eV per atom